Entry 1
PmReN2 PBE-GGA relaxed; V = 54.4 Å³ per cell
1.0
3.042 0.000 -0.070
-0.001 3.205 -0.001
-1.649 -1.600 5.622
Pm Re N
1 1 2
direct
0.169 0.891 0.248 Pm
0.484 0.637 0.741 Re
0.815 0.509 0.483 N
0.667 0.237 0.941 N

Entry 2
PmReN2 PBE-GGA relaxed; V = 54.1 Å³ per cell
1.0
-2.556 -2.093 0.879
1.459 -0.231 3.692
-2.201 3.135 1.066
Pm Re N
1 1 2
direct
0.500 0.500 0.500 Pm
0.000 0.000 0.000 Re
0.000 0.500 0.000 N
0.000 0.000 0.500 N

So which one is most stable? That would be entry 2, about 541 meV per atom below the next structure.

Entry 1
Pm2Re2N5 PBE-GGA relaxed; V = 127.4 Å³ per cell
1.0
3.832 0.000 0.000
-1.916 5.743 -0.469
0.000 -1.354 5.899
Pm Re N
2 2 5
direct
0.386 0.771 0.699 Pm
0.614 0.229 0.301 Pm
0.137 0.273 0.855 Re
0.863 0.727 0.145 Re
0.320 0.641 0.043 N
0.680 0.359 0.957 N
0.156 0.312 0.562 N
0.844 0.688 0.438 N
0.000 0.000 0.000 N

Entry 2
Pm2Re2N5 PBE-GGA relaxed; V = 242.0 Å³ per cell
1.0
-4.860 2.661 0.791
-1.977 -2.214 -4.697
0.729 -6.329 5.962
Pm Re N
4 4 10
direct
0.880 0.385 0.767 Pm
0.120 0.619 0.233 Pm
0.387 0.885 0.767 Pm
0.613 0.119 0.233 Pm
0.000 0.004 0.000 Re
0.500 0.504 0.000 Re
0.770 0.761 0.500 Re
0.230 0.261 0.500 Re
0.764 0.769 0.030 N
0.236 0.740 0.970 N
0.766 0.269 0.030 N
0.234 0.240 0.970 N
0.812 0.873 0.740 N
0.188 0.134 0.260 N
0.427 0.373 0.740 N
0.573 0.634 0.260 N
0.957 0.051 0.500 N
0.043 0.551 0.500 N

So which one is most stable? That would be entry 2, about 121 meV per atom below the next structure.

Entry 1
Pm2RhN PBE-GGA relaxed; V = 72.5 Å³ per cell
1.0
-2.227 -1.017 -2.135
2.326 -0.416 -2.229
0.897 -6.466 2.144
N Rh Pm
1 1 2
direct
0.500 0.500 0.000 N
0.500 0.500 0.500 Rh
0.000 0.000 0.785 Pm
0.000 0.000 0.215 Pm

Entry 2
Pm2RhN PBE-GGA relaxed; V = 79.1 Å³ per cell
1.0
-0.627 3.347 1.169
-3.230 1.507 -0.503
-3.449 -0.953 6.420
N Rh Pm
1 1 2
direct
0.500 0.500 0.500 N
0.000 0.000 0.000 Rh
0.764 0.764 0.707 Pm
0.236 0.236 0.293 Pm

So which one is most stable? That would be entry 2, about 267 meV per atom below the next structure.

Entry 1
Pm3RuN PBE-GGA relaxed; V = 442.5 Å³ per cell
1.0
6.258 0.000 0.000
0.000 9.023 0.095
0.000 -3.503 7.799
Pm Ru N
12 4 4
direct
0.073 0.645 0.920 Pm
0.927 0.355 0.080 Pm
0.573 0.855 0.080 Pm
0.427 0.145 0.920 Pm
0.593 0.444 0.794 Pm
0.407 0.556 0.206 Pm
0.093 0.056 0.206 Pm
0.907 0.944 0.794 Pm
0.115 0.233 0.629 Pm
0.885 0.767 0.371 Pm
0.615 0.267 0.371 Pm
0.385 0.733 0.629 Pm
0.848 0.587 0.585 Ru
0.152 0.413 0.415 Ru
0.348 0.913 0.415 Ru
0.652 0.087 0.585 Ru
0.241 0.401 0.925 N
0.759 0.599 0.075 N
0.741 0.099 0.075 N
0.259 0.901 0.925 N

Entry 2
Pm3RuN PBE-GGA relaxed; V = 114.8 Å³ per cell
1.0
4.860 0.000 0.000
0.000 4.860 0.000
0.000 0.000 4.860
Ru N Pm
1 1 3
direct
0.500 0.500 0.500 Ru
0.000 0.000 0.000 N
0.000 0.500 0.000 Pm
0.000 0.000 0.500 Pm
0.500 0.000 0.000 Pm

So which one is most stable? That would be entry 1, about 158 meV per atom below the next structure.

Entry 1
PmSbN PBE-GGA relaxed; V = 70.3 Å³ per cell
1.0
-0.359 -2.923 -1.950
2.980 -1.291 1.387
-4.281 -0.295 4.429
Sb Pm N
1 1 1
direct
0.037 0.037 0.074 Sb
0.730 0.730 0.461 Pm
0.233 0.233 0.466 N

Entry 2
PmSbN PBE-GGA relaxed; V = 69.8 Å³ per cell
1.0
3.831 0.000 0.000
-1.916 3.318 0.000
0.000 0.000 5.494
Sb N Pm
1 1 1
direct
0.000 0.000 0.037 Sb
0.667 0.333 0.429 N
0.333 0.667 0.534 Pm

Entry 3
PmSbN PBE-GGA relaxed; V = 142.4 Å³ per cell
1.0
-2.626 2.853 1.551
-1.207 -2.709 2.940
5.895 2.738 4.943
Pm Sb N
2 2 2
direct
0.250 0.750 0.373 Pm
0.750 0.250 0.627 Pm
0.250 0.750 0.939 Sb
0.750 0.250 0.061 Sb
0.750 0.750 0.500 N
0.250 0.250 0.500 N

So which one is most stable? That would be entry 3, about 92 meV per atom below the next structure.

Entry 1
PmSc2N PBE-GGA relaxed; V = 76.1 Å³ per cell
1.0
-1.709 -1.200 2.146
-0.030 -2.604 -1.479
6.969 -2.454 4.178
Sc N Pm
2 1 1
direct
0.000 0.000 0.850 Sc
0.000 0.000 0.150 Sc
0.500 0.500 0.000 N
0.500 0.500 0.500 Pm

Entry 2
PmSc2N PBE-GGA relaxed; V = 80.9 Å³ per cell
1.0
-1.484 -2.008 -2.143
-1.550 -2.697 1.074
-8.309 2.951 0.463
Sc N Pm
2 1 1
direct
0.286 0.286 0.141 Sc
0.714 0.714 0.859 Sc
0.000 0.000 0.000 N
0.500 0.500 0.500 Pm

So which one is most stable? That would be entry 2, about 616 meV per atom below the next structure.

Entry 1
Pm4Se3N PBE-GGA relaxed; V = 190.8 Å³ per cell
1.0
3.983 0.000 0.000
0.000 6.742 -2.251
0.000 -0.010 7.108
N Se Pm
1 3 4
direct
0.500 0.000 0.000 N
0.000 0.000 0.500 Se
0.500 0.500 0.500 Se
0.000 0.500 0.000 Se
0.000 0.211 0.211 Pm
0.500 0.779 0.221 Pm
0.000 0.789 0.789 Pm
0.500 0.221 0.779 Pm

Entry 2
Pm4Se3N PBE-GGA relaxed; V = 459.9 Å³ per cell
1.0
5.803 0.000 0.000
0.000 8.186 0.000
0.000 0.000 9.681
Pm Se N
8 6 2
direct
0.067 0.887 0.000 Pm
0.582 0.163 0.000 Pm
0.066 0.289 0.216 Pm
0.566 0.711 0.284 Pm
0.082 0.837 0.500 Pm
0.567 0.113 0.500 Pm
0.566 0.711 0.716 Pm
0.066 0.289 0.784 Pm
0.572 0.817 0.000 Se
0.070 0.655 0.243 Se
0.570 0.345 0.257 Se
0.072 0.183 0.500 Se
0.570 0.345 0.743 Se
0.070 0.655 0.757 Se
0.021 0.172 0.000 N
0.521 0.828 0.500 N

So which one is most stable? That would be entry 1, about 170 meV per atom below the next structure.

Entry 1
PmSeN PBE-GGA relaxed; V = 151.6 Å³ per cell
1.0
4.121 0.000 0.000
-2.060 3.678 0.191
0.000 -0.193 9.995
Pm Se N
2 2 2
direct
0.855 0.710 0.834 Pm
0.145 0.290 0.166 Pm
0.797 0.593 0.315 Se
0.203 0.407 0.685 Se
0.426 0.852 0.032 N
0.574 0.148 0.968 N

Entry 2
PmSeN PBE-GGA relaxed; V = 298.2 Å³ per cell
1.0
-0.167 2.289 3.437
-7.854 -2.627 1.367
4.960 -5.980 4.224
Pm Se N
4 4 4
direct
0.756 0.416 0.663 Pm
0.256 0.084 0.337 Pm
0.244 0.584 0.337 Pm
0.744 0.916 0.663 Pm
0.749 0.329 0.317 Se
0.249 0.171 0.683 Se
0.251 0.671 0.683 Se
0.751 0.829 0.317 Se
0.568 0.986 0.942 N
0.068 0.514 0.058 N
0.432 0.014 0.058 N
0.932 0.486 0.942 N

So which one is most stable? That would be entry 2, about 166 meV per atom below the next structure.

Entry 1
Pm3Se2N PBE-GGA relaxed; V = 274.5 Å³ per cell
1.0
-0.194 0.397 -5.682
-7.237 -2.384 0.080
-0.059 6.385 3.306
Pm Se N
6 4 2
direct
0.499 0.250 0.000 Pm
0.501 0.750 0.000 Pm
0.132 0.066 0.264 Pm
0.868 0.434 0.736 Pm
0.132 0.566 0.264 Pm
0.868 0.934 0.736 Pm
0.677 0.589 0.355 Se
0.677 0.089 0.355 Se
0.323 0.911 0.645 Se
0.323 0.411 0.645 Se
0.999 0.750 0.000 N
0.001 0.250 0.000 N

Entry 2
Pm3Se2N PBE-GGA relaxed; V = 274.7 Å³ per cell
1.0
-0.938 3.366 -1.612
0.140 -3.190 -2.148
-20.665 -3.742 4.215
Pm Se N
6 4 2
direct
0.000 0.000 0.000 Pm
0.333 0.667 0.179 Pm
0.333 0.667 0.321 Pm
0.000 0.000 0.500 Pm
0.667 0.333 0.679 Pm
0.667 0.333 0.821 Pm
0.333 0.667 0.911 Se
0.667 0.333 0.089 Se
0.667 0.333 0.411 Se
0.333 0.667 0.589 Se
0.000 0.000 0.250 N
0.000 0.000 0.750 N

So which one is most stable? That would be entry 1, about 168 meV per atom below the next structure.

Entry 1
Pm3Se3N PBE-GGA relaxed; V = 710.1 Å³ per cell
1.0
4.093 0.000 0.000
0.000 12.861 0.000
0.000 0.000 13.490
Pm Se N
12 12 4
direct
0.750 0.958 0.849 Pm
0.250 0.542 0.349 Pm
0.250 0.042 0.151 Pm
0.750 0.458 0.651 Pm
0.750 0.933 0.367 Pm
0.250 0.567 0.867 Pm
0.250 0.067 0.633 Pm
0.750 0.433 0.133 Pm
0.750 0.793 0.139 Pm
0.250 0.707 0.639 Pm
0.250 0.207 0.861 Pm
0.750 0.293 0.361 Pm
0.750 0.724 0.811 Se
0.250 0.776 0.311 Se
0.250 0.276 0.189 Se
0.750 0.224 0.689 Se
0.750 0.131 0.995 Se
0.250 0.369 0.495 Se
0.250 0.869 0.005 Se
0.750 0.631 0.505 Se
0.750 0.905 0.607 Se
0.250 0.595 0.107 Se
0.250 0.095 0.393 Se
0.750 0.405 0.893 Se
0.750 0.961 0.203 N
0.250 0.539 0.703 N
0.250 0.039 0.797 N
0.750 0.461 0.297 N

Entry 2
Pm3Se3N PBE-GGA relaxed; V = 361.4 Å³ per cell
1.0
7.410 0.224 -0.067
-3.101 6.733 -0.067
-0.714 -1.153 7.166
Pm Se N
6 6 2
direct
0.901 0.901 0.183 Pm
0.839 0.545 0.723 Pm
0.545 0.839 0.723 Pm
0.161 0.455 0.277 Pm
0.455 0.161 0.277 Pm
0.099 0.099 0.817 Pm
0.613 0.613 0.354 Se
0.166 0.834 0.500 Se
0.834 0.166 0.500 Se
0.252 0.748 0.000 Se
0.748 0.252 0.000 Se
0.387 0.387 0.646 Se
0.823 0.823 0.860 N
0.177 0.177 0.140 N

So which one is most stable? That would be entry 1, about 63 meV per atom below the next structure.

Entry 1
PmSiN2 PBE-GGA relaxed; V = 155.8 Å³ per cell
1.0
4.607 -0.741 1.138
-0.836 5.957 -1.107
1.238 -0.995 6.237
Pm Si N
2 2 4
direct
0.222 0.737 0.824 Pm
0.722 0.237 0.324 Pm
0.467 0.263 0.850 Si
0.976 0.211 0.798 Si
0.160 0.419 0.006 N
0.284 0.056 0.643 N
0.864 0.379 0.682 N
0.580 0.095 0.966 N

Entry 2
PmSiN2 PBE-GGA relaxed; V = 69.9 Å³ per cell
1.0
3.771 0.000 0.000
1.886 3.266 0.000
1.886 1.089 5.674
Si N Pm
1 2 1
direct
0.000 0.000 0.000 Si
0.097 0.097 0.709 N
0.903 0.903 0.291 N
0.500 0.500 0.500 Pm

So which one is most stable? That would be entry 1, about 175 meV per atom below the next structure.